No. 1
# MgPaZnSn PBE relaxed
# * electronic total energy: -65.9 eV/cell
# * energy relative to the elements: -0.026 eV/atom
data_MgPaZnSn
_cell_length_a 7.135
_cell_length_b 7.135
_cell_length_c 7.135
_cell_angle_alpha 90.00
_cell_angle_beta 90.00
_cell_angle_gamma 90.00
_space_group_name_H-M_alt 'F -4 3 m'
_space_group_IT_number 216
_space_group_name_Hall 'F -4 2 3'
loop_
_atom_site_label
_atom_site_type_symbol
_atom_site_fract_x
_atom_site_fract_y
_atom_site_fract_z
_atom_site_occupancy
Mg1 Mg 0.000 0.000 0.000 1
Pa1 Pa 0.000 0.000 0.500 1
Zn1 Zn 0.250 0.250 0.750 1
Sn1 Sn 0.250 0.250 0.250 1


No. 2
# LiIn PBE relaxed
# * electronic total energy: -10.2 eV/cell
# * energy relative to the elements: -0.228 eV/atom
data_LiIn
_cell_length_a 3.169
_cell_length_b 5.211
_cell_length_c 5.755
_cell_angle_alpha 66.55
_cell_angle_beta 75.01
_cell_angle_gamma 89.84
_space_group_name_H-M_alt 'P -1'
_space_group_IT_number 2
loop_
_space_group_symop_operation_xyz
'x,y,z'
'-x,-y,-z'
loop_
_atom_site_label
_atom_site_type_symbol
_atom_site_fract_x
_atom_site_fract_y
_atom_site_fract_z
_atom_site_occupancy
Li1 Li 0.120 0.291 0.253 1
In1 In 0.385 0.207 0.744 1


No. 3
# Ga2ReSbH PBE relaxed
# * electronic total energy: -23.0 eV/cell
data_Ga2ReSbH
_cell_length_a 5.006
_cell_length_b 5.006
_cell_length_c 3.592
_cell_angle_alpha 90.00
_cell_angle_beta 90.00
_cell_angle_gamma 90.00
_space_group_name_H-M_alt 'P 4/m m m'
_space_group_IT_number 123
_space_group_name_Hall '-P 4 2'
loop_
_atom_site_label
_atom_site_type_symbol
_atom_site_fract_x
_atom_site_fract_y
_atom_site_fract_z
_atom_site_occupancy
Ga1 Ga 0.000 0.500 0.000 1
Re1 Re 0.000 0.000 0.000 1
Sb1 Sb 0.500 0.500 0.500 1
H1 H 0.000 0.000 0.500 1


No. 4
# Ac2HoBi3Rh4 PBE relaxed
# * electronic total energy: -60.1 eV/cell
# * energy relative to the elements: -0.627 eV/atom
data_Ac2HoBi3Rh4
_cell_length_a 4.643
_cell_length_b 4.643
_cell_length_c 11.491
_cell_angle_alpha 90.00
_cell_angle_beta 90.00
_cell_angle_gamma 90.00
_space_group_name_H-M_alt 'P -4 m 2'
_space_group_IT_number 115
loop_
_space_group_symop_operation_xyz
'x,y,z'
'y,-x,-z'
'-x,-y,z'
'-y,x,-z'
'-x,y,z'
'-y,-x,-z'
'x,-y,z'
'y,x,-z'
loop_
_atom_site_label
_atom_site_type_symbol
_atom_site_fract_x
_atom_site_fract_y
_atom_site_fract_z
_atom_site_occupancy
Ac1 Ac 0.000 0.500 0.234 1
Ho1 Ho 0.000 0.000 0.500 1
Bi1 Bi 0.000 0.500 0.873 1
Bi2 Bi 0.500 0.500 0.500 1
Rh1 Rh 0.000 0.000 0.000 1
Rh2 Rh 0.000 0.500 0.639 1
Rh3 Rh 0.500 0.500 0.000 1


No. 5
# ScSi2As PBE relaxed
# * electronic total energy: -44.7 eV/cell
# * ΔE_f (raw): -0.127 eV/atom
data_ScSi2As
_cell_length_a 5.309
_cell_length_b 7.442
_cell_length_c 3.574
_cell_angle_alpha 90.00
_cell_angle_beta 90.00
_cell_angle_gamma 90.00
_space_group_name_H-M_alt 'C m m m'
_space_group_IT_number 65
_space_group_name_Hall '-C 2 2'
loop_
_atom_site_label
_atom_site_type_symbol
_atom_site_fract_x
_atom_site_fract_y
_atom_site_fract_z
_atom_site_occupancy
Sc1 Sc 0.000 0.000 0.000 1
Si1 Si 0.250 0.250 0.500 1
As1 As 0.000 0.500 0.000 1


No. 6
# RhPb2Au PBE relaxed
# * electronic total energy: -34.8 eV/cell
# * energy relative to the elements: 0.157 eV/atom
data_RhPb2Au
_cell_length_a 4.246
_cell_length_b 4.246
_cell_length_c 9.669
_cell_angle_alpha 90.00
_cell_angle_beta 90.00
_cell_angle_gamma 90.00
_space_group_name_H-M_alt 'I -4 m 2'
_space_group_IT_number 119
_space_group_name_Hall 'I -4 -2'
loop_
_atom_site_label
_atom_site_type_symbol
_atom_site_fract_x
_atom_site_fract_y
_atom_site_fract_z
_atom_site_occupancy
Rh1 Rh 0.000 0.000 0.000 1
Pb1 Pb 0.000 0.000 0.500 1
Pb2 Pb 0.000 0.500 0.250 1
Au1 Au 0.000 0.500 0.750 1


No. 7
# ZrMnPt3 PBE relaxed
# * electronic total energy: -152.7 eV/cell
# * energy relative to the elements: -0.466 eV/atom
data_ZrMnPt3
_cell_length_a 5.258
_cell_length_b 13.632
_cell_length_c 5.289
_cell_angle_alpha 90.00
_cell_angle_beta 109.74
_cell_angle_gamma 90.00
_space_group_name_H-M_alt 'C 1 2/c 1'
_space_group_IT_number 15
loop_
_space_group_symop_operation_xyz
'x,y,z'
'-x,-y,-z'
'-x,y,-z+1/2'
'x,-y,z+1/2'
'x+1/2,y+1/2,z'
'-x+1/2,-y+1/2,-z'
'-x+1/2,y+1/2,-z+1/2'
'x+1/2,-y+1/2,z+1/2'
loop_
_atom_site_label
_atom_site_type_symbol
_atom_site_fract_x
_atom_site_fract_y
_atom_site_fract_z
_atom_site_occupancy
Zr1 Zr 0.000 0.178 0.250 1
Mn1 Mn 0.000 0.475 0.750 1
Pt1 Pt 0.000 0.000 0.000 1
Pt2 Pt 0.221 0.344 0.149 1


No. 8
# BaLaBe2Mo PBE relaxed
# * electronic total energy: -22.1 eV/cell
# * energy relative to the elements: 0.598 eV/atom
data_BaLaBe2Mo
_cell_length_a 4.922
_cell_length_b 4.922
_cell_length_c 5.079
_cell_angle_alpha 90.00
_cell_angle_beta 90.00
_cell_angle_gamma 90.00
_space_group_name_H-M_alt 'P 4/m m m'
_space_group_IT_number 123
_space_group_name_Hall '-P 4 2'
loop_
_atom_site_label
_atom_site_type_symbol
_atom_site_fract_x
_atom_site_fract_y
_atom_site_fract_z
_atom_site_occupancy
Ba1 Ba 0.000 0.000 0.000 1
La1 La 0.500 0.500 0.000 1
Be1 Be 0.000 0.500 0.500 1
Mo1 Mo 0.500 0.500 0.500 1


No. 9
# BeAl2Mo PBE relaxed
# * electronic total energy: -21.8 eV/cell
# * energy relative to the elements: 0.067 eV/atom
data_BeAl2Mo
_cell_length_a 2.687
_cell_length_b 2.687
_cell_length_c 7.853
_cell_angle_alpha 90.00
_cell_angle_beta 90.00
_cell_angle_gamma 90.00
_space_group_name_H-M_alt 'P 4 m m'
_space_group_IT_number 99
loop_
_space_group_symop_operation_xyz
'x,y,z'
'-y,x,z'
'-x,-y,z'
'y,-x,z'
'-x,y,z'
'y,x,z'
'x,-y,z'
'-y,-x,z'
loop_
_atom_site_label
_atom_site_type_symbol
_atom_site_fract_x
_atom_site_fract_y
_atom_site_fract_z
_atom_site_occupancy
Be1 Be 0.000 0.000 0.000 1
Al1 Al 0.000 0.000 0.493 1
Al2 Al 0.500 0.500 0.784 1
Mo1 Mo 0.500 0.500 0.227 1


No. 10
# CsBr2Cl2 PBE relaxed
# * electronic total energy: -10.5 eV/cell
# * ΔE_f (raw): -0.523 eV/atom
data_CsBr2Cl2
_cell_length_a 5.9718
_cell_length_b 5.9718
_cell_length_c 9.0804
_cell_angle_alpha 90.00
_cell_angle_beta 90.00
_cell_angle_gamma 120.00
_space_group_name_H-M_alt 'P -3 m 1'
_space_group_IT_number 164
_space_group_name_Hall '-P 3 2"'
loop_
_atom_site_label
_atom_site_type_symbol
_atom_site_fract_x
_atom_site_fract_y
_atom_site_fract_z
_atom_site_occupancy
Cs1 Cs 0.0000 0.0000 0.0000 1
Br1 Br 0.3333 0.6667 0.3703 1
Cl1 Cl 0.3333 0.6667 0.1043 1


No. 11
# Gd2PuZn PBE relaxed
# * electronic total energy: -173.5 eV/cell
# * energy relative to the elements: 0.099 eV/atom
data_Gd2PuZn
_cell_length_a 7.509
_cell_length_b 7.509
_cell_length_c 7.509
_cell_angle_alpha 90.00
_cell_angle_beta 90.00
_cell_angle_gamma 90.00
_space_group_name_H-M_alt 'F m -3 m'
_space_group_IT_number 225
_space_group_name_Hall '-F 4 2 3'
loop_
_atom_site_label
_atom_site_type_symbol
_atom_site_fract_x
_atom_site_fract_y
_atom_site_fract_z
_atom_site_occupancy
Gd1 Gd 0.250 0.250 0.250 1
Pu1 Pu 0.000 0.000 0.000 1
Zn1 Zn 0.000 0.000 0.500 1


No. 12
# Pr15Y4Tl PBE relaxed
# * electronic total energy: -100.5 eV/cell
# * energy relative to the elements: -0.027 eV/atom
data_Pr15Y4Tl
_cell_length_a 5.154
_cell_length_b 5.154
_cell_length_c 26.038
_cell_angle_alpha 90.00
_cell_angle_beta 90.00
_cell_angle_gamma 90.00
_space_group_name_H-M_alt 'P 4/m m m'
_space_group_IT_number 123
_space_group_name_Hall '-P 4 2'
loop_
_atom_site_label
_atom_site_type_symbol
_atom_site_fract_x
_atom_site_fract_y
_atom_site_fract_z
_atom_site_occupancy
Pr1 Pr 0.000 0.000 0.000 1
Pr2 Pr 0.000 0.000 0.198 1
Pr3 Pr 0.000 0.000 0.399 1
Pr4 Pr 0.000 0.500 0.097 1
Pr5 Pr 0.000 0.500 0.299 1
Pr6 Pr 0.000 0.500 0.500 1
Y1 Y 0.500 0.500 0.198 1
Y2 Y 0.500 0.500 0.400 1
Tl1 Tl 0.500 0.500 0.000 1